First-principles (GGA-PBE) data for a relaxed structure of Cs2Tl5Sn4, as listed in Alexandria.

Unit cell a=7.3407 b=8.7113 c=8.4085 alpha=73.75 beta=64.12 gamma=65.08
With the nearest neighbours (Å) after each atom.
Positions (direct):
Tl (0.2590, 0.7683, 0.1862)  4 Sn 3.19-3.40, 2 Tl 3.46-3.47
Tl (0.2134, 0.2317, 0.8138)  4 Sn 3.19-3.40, 2 Tl 3.46-3.47
Tl (0.7410, 0.2317, 0.8138)  4 Sn 3.19-3.40, 2 Tl 3.46-3.47
Tl (0.7866, 0.7683, 0.1862)  4 Sn 3.19-3.40, 2 Tl 3.46-3.47
Tl (0.0000, 0.5000, 0.5000)  4 Tl 3.46, 2 Sn 3.59
Sn (0.6303, 0.9102, 0.8292)  2 Sn 2.90-3.09, 2 Tl 3.19
Sn (0.3697, 0.0898, 0.1708)  2 Sn 2.90-3.09, 2 Tl 3.19
Sn (0.2583, 0.4486, 0.0348)  1 Sn 2.90, 2 Tl 3.19
Sn (0.7417, 0.5514, 0.9652)  1 Sn 2.90, 2 Tl 3.19
Cs (0.7269, 0.1969, 0.3492)  4 Sn 3.79-4.05, 4 Tl 4.05-4.12
Cs (0.2731, 0.8031, 0.6508)  4 Sn 3.79-4.05, 4 Tl 4.05-4.12

Computed properties:
- Calculated volume: 436 Å³ per cell
- Energy of formation from the pure elements: -0.043 eV/atom
- Calculated total energy: -2.729 eV per atom

=====

First-principles (GGA-PBE) data for a relaxed structure of CsTl2Sn, as listed in Alexandria.

Unit cell a=5.0858 b=5.0858 c=7.9027 alpha=71.23 beta=71.23 gamma=60.00
With the nearest neighbours (Å) after each atom.
Positions (direct):
Tl (0.2803, 0.2803, 0.1591)  3 Sn 3.16
Tl (0.7197, 0.7197, 0.8409)  3 Sn 3.16
Sn (0.0000, 0.0000, 0.0000)  6 Tl 3.16
Cs (0.5000, 0.5000, 0.5000)  6 Tl 3.86

Computed properties:
- Calculated volume: 164 Å³ per cell
- Energy of formation from the pure elements: -0.108 eV/atom
- Calculated total energy: -2.505 eV per atom

=====

First-principles (GGA-PBE) data for a relaxed structure of Cs2TlSn2, as listed in Alexandria.

Unit cell a=7.9141 b=7.3272 c=9.9028 alpha=102.27 beta=90.00 gamma=122.69
With the nearest neighbours (Å) after each atom.
Positions (direct):
Sn (0.6872, 0.6953, 0.4990)  1 Sn 2.80
Sn (0.3128, 0.3047, 0.5010)  1 Sn 2.80
Sn (0.9919, 0.3047, 0.0010)  1 Sn 2.80
Sn (0.0081, 0.6953, 0.9990)  1 Sn 2.80
Cs (0.5146, 0.7116, 0.8774)  6 Sn 3.83-4.16, 2 Tl 4.09-4.23, 1 Cs 4.24
Cs (0.4854, 0.2884, 0.1226)  6 Sn 3.83-4.16, 2 Tl 4.09-4.23, 1 Cs 4.24
Cs (0.1970, 0.7116, 0.3774)  6 Sn 3.83-4.16, 2 Tl 4.09-4.23, 1 Cs 4.24
Cs (0.8030, 0.2884, 0.6226)  6 Sn 3.83-4.16, 2 Tl 4.09-4.23, 1 Cs 4.24
Tl (0.0755, 0.0000, 0.7500)  4 Sn 3.29-3.52
Tl (0.9245, 0.0000, 0.2500)  4 Sn 3.29-3.52

Computed properties:
- Calculated volume: 468 Å³ per cell
- Energy of formation from the pure elements: -0.104 eV/atom
- Calculated total energy: -2.520 eV per atom

=====

First-principles (GGA-PBE) data for a relaxed structure of CsTl3Sn, as listed in Alexandria.

Unit cell a=7.3603 b=7.3591 c=7.6007 alpha=90.00 beta=90.00 gamma=66.57
With the nearest neighbours (Å) after each atom.
Positions (direct):
Tl (0.0052, 0.7576, 0.8025)  2 Sn 3.11-3.12, 2 Tl 3.25
Tl (0.0052, 0.7576, 0.3023)  2 Sn 3.11-3.12, 2 Tl 3.25
Tl (0.1653, 0.3677, 0.5524)  1 Sn 3.07, 4 Tl 3.25
Tl (0.5553, 0.2081, 0.8023)  2 Sn 3.11-3.12, 2 Tl 3.25
Tl (0.5553, 0.2081, 0.3025)  2 Sn 3.11-3.12, 2 Tl 3.25
Tl (0.3953, 0.5980, 0.0524)  1 Sn 3.07, 4 Tl 3.25
Sn (0.9163, 0.1181, 0.5524)  5 Tl 3.07-3.12
Sn (0.6443, 0.8476, 0.0524)  5 Tl 3.07-3.12
Cs (0.0462, 0.2488, 0.0524)  13 Tl 4.07-4.45, 4 Sn 4.12-4.22
Cs (0.5144, 0.7169, 0.5524)  13 Tl 4.07-4.45, 4 Sn 4.12-4.22

Computed properties:
- Calculated volume: 378 Å³ per cell
- Energy of formation from the pure elements: -0.103 eV/atom
- Calculated total energy: -2.494 eV per atom

=====

First-principles (GGA-PBE) data for a relaxed structure of CsTl5Sn, as listed in Alexandria.

Unit cell a=4.9830 b=4.9830 c=10.9145 alpha=90.00 beta=90.00 gamma=90.00
With the nearest neighbours (Å) after each atom.
Positions (direct):
Tl (0.0000, 0.5000, 0.7911)  6 Tl 3.38-3.52, 2 Sn 3.38
Tl (0.5000, 0.0000, 0.2089)  6 Tl 3.38-3.52, 2 Sn 3.38
Tl (0.5000, 0.5000, 0.0000)  8 Tl 3.38, 4 Sn 3.52
Tl (0.0000, 0.5000, 0.2089)  6 Tl 3.38-3.52, 2 Sn 3.38
Tl (0.5000, 0.0000, 0.7911)  6 Tl 3.38-3.52, 2 Sn 3.38
Sn (0.0000, 0.0000, 0.0000)  12 Tl 3.38-3.52
Cs (0.0000, 0.0000, 0.5000)  8 Tl 4.04

Computed properties:
- Calculated volume: 271 Å³ per cell
- Energy of formation from the pure elements: -0.036 eV/atom
- Calculated total energy: -2.420 eV per atom

=====

First-principles (GGA-PBE) data for a relaxed structure of CsTl5Sn, as listed in Alexandria.

Unit cell a=4.9741 b=4.9741 c=10.9224 alpha=90.00 beta=90.00 gamma=90.00
With the nearest neighbours (Å) after each atom.
Positions (direct):
Tl (0.0000, 0.0000, 0.0000)  8 Tl 3.38, 4 Sn 3.52
Tl (0.5000, 0.0000, 0.2091)  6 Tl 3.38-3.52, 2 Sn 3.38
Tl (0.0000, 0.5000, 0.2091)  6 Tl 3.38-3.52, 2 Sn 3.38
Tl (0.5000, 0.0000, 0.7909)  6 Tl 3.38-3.52, 2 Sn 3.38
Tl (0.0000, 0.5000, 0.7909)  6 Tl 3.38-3.52, 2 Sn 3.38
Cs (0.0000, 0.0000, 0.5000)  8 Tl 4.03
Sn (0.5000, 0.5000, 0.0000)  12 Tl 3.38-3.52

Computed properties:
- Calculated volume: 270 Å³ per cell
- Energy of formation from the pure elements: -0.038 eV/atom
- Calculated total energy: -2.422 eV per atom

=====

First-principles (GGA-PBE) data for a relaxed structure of Cs2TlSn, as listed in Alexandria.

Unit cell a=10.8510 b=10.8510 c=8.4161 alpha=49.86 beta=49.86 gamma=90.00
With the nearest neighbours (Å) after each atom.
Positions (direct):
Cs (0.8750, 0.8856, 0.7500)  2 Cs 3.47, 2 Tl 3.85
Cs (0.3750, 0.3644, 0.7500)  2 Cs 3.47, 2 Tl 3.85
Cs (0.1144, 0.6250, 0.2500)  2 Cs 3.47, 2 Tl 3.85
Cs (0.6356, 0.1250, 0.2500)  2 Cs 3.47, 2 Tl 3.85
Tl (0.7500, 0.2500, 0.5000)  2 Sn 3.46, 4 Cs 3.85
Tl (0.0000, 0.0000, 0.0000)  2 Sn 3.46, 4 Cs 3.85
Sn (0.2500, 0.7500, 0.5000)  2 Tl 3.46
Sn (0.5000, 0.5000, 0.0000)  2 Tl 3.46

Computed properties:
- Calculated volume: 407 Å³ per cell
- Energy of formation from the pure elements: 0.207 eV/atom
- Calculated total energy: -1.812 eV per atom

=====

First-principles (GGA-PBE) data for a relaxed structure of CsTl2Sn, as listed in Alexandria.

Unit cell a=5.0909 b=8.1190 c=8.6783 alpha=103.01 beta=90.00 gamma=108.27
With the nearest neighbours (Å) after each atom.
Positions (direct):
Sn (0.2794, 0.5588, 0.3294)  4 Tl 3.00-3.25
Sn (0.8723, 0.7447, 0.8265)  7 Tl 3.13-3.48
Tl (0.3843, 0.7686, 0.0458)  3 Sn 3.16-3.25, 1 Tl 3.40
Tl (0.7447, 0.4895, 0.4873)  3 Sn 3.00-3.13, 2 Tl 3.28
Tl (0.4351, 0.8702, 0.6428)  3 Sn 3.17-3.27, 1 Tl 3.54
Tl (0.2171, 0.4342, 0.7098)  4 Tl 3.28-3.54, 3 Sn 3.48-3.65
Cs (0.0046, 0.0092, 0.3614)  5 Tl 3.85-3.90, 3 Sn 4.26-4.31
Cs (0.6417, 0.2835, 0.0002)  5 Tl 3.88-4.15, 3 Sn 4.03-4.18

Computed properties:
- Calculated volume: 331 Å³ per cell
- Energy of formation from the pure elements: -0.106 eV/atom
- Calculated total energy: -2.503 eV per atom